No. 1
Entry from Alexandria: a relaxed structure of LaSmPt2 (PBE).

Results
Distance to the lowest polymorph of the same formula in meV per atom: 70
Calculated formation energy in meV/atom: -1126

Unit cell a=4.1977 b=4.1977 c=20.6185 alpha=90.00 beta=90.00 gamma=120.00
Space group R-3m (No. 166, hexagonal axes)
Inequivalent atoms, fractional coordinates:
La (0.0000, 0.0000, 0.0000) (multiplicity 3)
Sm (0.0000, 0.0000, 0.5000) (multiplicity 3)
Pt (0.0000, 0.0000, 0.2479) (multiplicity 6)

=====

No. 2
Entry from Alexandria: a relaxed structure of LaSm2Pt (PBE).

Results
Distance to the lowest polymorph of the same formula in meV per atom: 0
Calculated formation energy in meV/atom: -652

Unit cell a=7.2492 b=9.9648 c=6.6986 alpha=90.00 beta=90.00 gamma=90.00
Space group Pnma (No. 62)
Inequivalent atoms, fractional coordinates:
La (0.0267, 0.2500, 0.1384) (multiplicity 4)
Sm (0.1761, 0.0625, 0.6713) (multiplicity 8)
Pt (0.1186, 0.7500, 0.4324) (multiplicity 4)

=====

No. 3
Entry from Alexandria: a relaxed structure of LaSmPt2 (PBE).

Results
Distance to the lowest polymorph of the same formula in meV per atom: 149
Calculated formation energy in meV/atom: -1048

Unit cell a=4.1409 b=4.1409 c=21.4410 alpha=90.00 beta=90.00 gamma=120.00
Space group R3m (No. 160, hexagonal axes)
Inequivalent atoms, fractional coordinates:
La (0.0000, 0.0000, 0.0000) (multiplicity 3)
Sm (0.0000, 0.0000, 0.1723) (multiplicity 3)
Pt (0.0000, 0.0000, 0.5848) (multiplicity 3)
Pt (0.0000, 0.0000, 0.7540) (multiplicity 3)

=====

No. 4
Entry from Alexandria: a relaxed structure of LaSmPt2 (PBE).

Results
Distance to the lowest polymorph of the same formula in meV per atom: 0
Calculated formation energy in meV/atom: -1196

Unit cell a=4.5755 b=3.9206 c=10.9336 alpha=90.00 beta=90.00 gamma=90.00
Space group Amm2 (No. 38)
Inequivalent atoms, fractional coordinates:
La (0.0000, 0.0000, 0.0000) (multiplicity 2)
Sm (0.5000, 0.0000, 0.7274) (multiplicity 2)
Pt (0.0000, 0.0000, 0.2724) (multiplicity 2)
Pt (0.5000, 0.0000, 0.4522) (multiplicity 2)

=====

No. 5
Entry from Alexandria: a relaxed structure of LaSmPt (PBE).

Results
Distance to the lowest polymorph of the same formula in meV per atom: 71
Calculated formation energy in meV/atom: -729

Unit cell a=4.2049 b=4.2049 c=6.5094 alpha=90.00 beta=90.00 gamma=120.00
Space group P3m1 (No. 156)
Inequivalent atoms, fractional coordinates:
La (0.0000, 0.0000, 0.0000) (multiplicity 1)
Sm (0.3333, 0.6667, 0.4865) (multiplicity 1)
Pt (0.6667, 0.3333, 0.2505) (multiplicity 1)

=====

No. 6
Entry from Alexandria: a relaxed structure of LaSmPt2 (PBE).

Results
Distance to the lowest polymorph of the same formula in meV per atom: 107
Calculated formation energy in meV/atom: -1090

Unit cell a=3.6036 b=3.6036 c=7.2704 alpha=90.00 beta=90.00 gamma=90.00
Space group P4/mmm (No. 123)
Inequivalent atoms, fractional coordinates:
La (0.0000, 0.0000, 0.0000) (multiplicity 1)
Sm (0.0000, 0.0000, 0.5000) (multiplicity 1)
Pt (0.5000, 0.5000, 0.2632) (multiplicity 2)

=====

No. 7
Entry from Alexandria: a relaxed structure of La3SmPt3 (PBE).

Results
Calculated formation energy in meV/atom: -1031

Unit cell a=12.5731 b=4.2295 c=14.6084 alpha=90.00 beta=90.00 gamma=90.00
Space group Pnma (No. 62)
Inequivalent atoms, fractional coordinates:
La (0.0523, 0.2500, 0.0999) (multiplicity 4)
La (0.1809, 0.7500, 0.5204) (multiplicity 4)
La (0.2486, 0.7500, 0.8033) (multiplicity 4)
Sm (0.0240, 0.2500, 0.6877) (multiplicity 4)
Pt (0.0542, 0.2500, 0.4278) (multiplicity 4)
Pt (0.1108, 0.2500, 0.8928) (multiplicity 4)
Pt (0.2330, 0.7500, 0.1584) (multiplicity 4)

=====

No. 8
Entry from Alexandria: a relaxed structure of LaSmTh2Pt4 (PBE).

Results
Calculated formation energy in meV/atom: -1175

Unit cell a=8.3782 b=11.9260 c=8.3782 alpha=90.00 beta=90.00 gamma=90.00
Space group Fmm2 (No. 42)
Inequivalent atoms, fractional coordinates:
La (0.0000, 0.0000, 0.0000) (multiplicity 4)
Sm (0.0000, 0.0000, 0.4992) (multiplicity 4)
Th (0.2500, 0.2500, 0.2502) (multiplicity 8)
Pt (0.0000, 0.2475, 0.5002) (multiplicity 8)
Pt (0.2504, 0.0000, 0.2496) (multiplicity 8)

=====

No. 9
Entry from Alexandria: a relaxed structure of LaSnPt3 (PBE).

Results
Distance to the lowest polymorph of the same formula in meV per atom: 360
Calculated formation energy in meV/atom: -247

Unit cell a=4.9937 b=4.9937 c=4.9937 alpha=90.00 beta=90.00 gamma=90.00
Space group Pm-3m (No. 221)
Inequivalent atoms, fractional coordinates:
La (0.0000, 0.0000, 0.0000) (multiplicity 1)
Sn (0.5000, 0.5000, 0.5000) (multiplicity 1)
Pt (0.0000, 0.5000, 0.5000) (multiplicity 3)

=====

No. 10
Entry from Alexandria: a relaxed structure of LaSn3Pt2 (PBE).

Results
Calculated formation energy in meV/atom: -705

Unit cell a=17.8459 b=4.4732 c=11.0356 alpha=90.00 beta=106.39 gamma=90.00
Space group C2/m (No. 12)
Inequivalent atoms, fractional coordinates:
La (0.0000, 0.0000, 0.0000) (multiplicity 2)
La (0.1588, 0.0000, 0.7025) (multiplicity 4)
Sn (0.0000, 0.5000, 0.5000) (multiplicity 2)
Sn (0.0362, 0.0000, 0.3421) (multiplicity 4)
Sn (0.1261, 0.5000, 0.1911) (multiplicity 4)
Sn (0.1711, 0.5000, 0.9486) (multiplicity 4)
Sn (0.2158, 0.0000, 0.3799) (multiplicity 4)
Pt (0.0248, 0.5000, 0.7981) (multiplicity 4)
Pt (0.1435, 0.5000, 0.4556) (multiplicity 4)
Pt (0.1938, 0.0000, 0.1181) (multiplicity 4)

=====

No. 11
Entry from Alexandria: a relaxed structure of La2SnPt2 (PBE).

Results
Calculated formation energy in meV/atom: -850

Unit cell a=3.9314 b=3.9314 c=17.5229 alpha=90.00 beta=90.00 gamma=90.00
Space group I4/mmm (No. 139)
Inequivalent atoms, fractional coordinates:
La (0.0000, 0.0000, 0.1232) (multiplicity 4)
Sn (0.0000, 0.0000, 0.5000) (multiplicity 2)
Pt (0.0000, 0.5000, 0.2500) (multiplicity 4)

=====

No. 12
Entry from Alexandria: a relaxed structure of La8Sn2Pt (PBE).

Results
Calculated formation energy in meV/atom: -535

Unit cell a=20.0957 b=5.2292 c=7.0969 alpha=90.00 beta=106.39 gamma=90.00
Space group C2/m (No. 12)
Inequivalent atoms, fractional coordinates:
La (0.0139, 0.0000, 0.2853) (multiplicity 4)
La (0.0899, 0.5000, 0.9600) (multiplicity 4)
La (0.1490, 0.5000, 0.4912) (multiplicity 4)
La (0.2158, 0.0000, 0.8117) (multiplicity 4)
Sn (0.1787, 0.0000, 0.2420) (multiplicity 4)
Pt (0.0000, 0.5000, 0.5000) (multiplicity 2)

=====

No. 13
Entry from Alexandria: a relaxed structure of La3Sn3Pt (PBE).

Results
Calculated formation energy in meV/atom: -905

Unit cell a=11.6536 b=4.7187 c=15.6662 alpha=90.00 beta=110.32 gamma=90.00
Space group C2/m (No. 12)
Inequivalent atoms, fractional coordinates:
La (0.0281, 0.0000, 0.3825) (multiplicity 4)
La (0.0982, 0.0000, 0.9224) (multiplicity 4)
La (0.2454, 0.0000, 0.2391) (multiplicity 4)
Sn (0.0342, 0.5000, 0.2353) (multiplicity 4)
Sn (0.1235, 0.5000, 0.0767) (multiplicity 4)
Sn (0.1482, 0.5000, 0.5331) (multiplicity 4)
Pt (0.2476, 0.0000, 0.6157) (multiplicity 4)

=====

No. 14
Entry from Alexandria: a relaxed structure of La2SnPt2 (PBE).

Results
Calculated formation energy in meV/atom: -965

Unit cell a=5.7258 b=5.7258 c=8.2336 alpha=90.00 beta=90.00 gamma=90.00
Space group I4/mmm (No. 139)
Inequivalent atoms, fractional coordinates:
La (0.0000, 0.5000, 0.2500) (multiplicity 4)
Sn (0.0000, 0.0000, 0.0000) (multiplicity 2)
Pt (0.0000, 0.0000, 0.3443) (multiplicity 4)

=====

No. 15
Entry from Alexandria: a relaxed structure of La6SnPt4 (PBE).

Results
Calculated formation energy in meV/atom: -1014

Unit cell a=4.3740 b=14.0970 c=21.4206 alpha=90.00 beta=90.00 gamma=90.00
Space group Cmcm (No. 63)
Inequivalent atoms, fractional coordinates:
La (0.0000, 0.0000, 0.0000) (multiplicity 4)
La (0.0000, 0.1734, 0.2500) (multiplicity 4)
La (0.0000, 0.2674, 0.5855) (multiplicity 8)
La (0.0000, 0.4600, 0.1582) (multiplicity 8)
Sn (0.0000, 0.1555, 0.7500) (multiplicity 4)
Pt (0.0000, 0.0968, 0.1247) (multiplicity 8)
Pt (0.0000, 0.3626, 0.0408) (multiplicity 8)

=====

No. 16
Entry from Alexandria: a relaxed structure of La6Sn2Pt (PBE).

Results
Calculated formation energy in meV/atom: -690

Unit cell a=8.6744 b=8.6744 c=4.3760 alpha=90.00 beta=90.00 gamma=120.00
Space group P-62m (No. 189)
Inequivalent atoms, fractional coordinates:
La (0.0000, 0.4114, 0.0000) (multiplicity 3)
La (0.0000, 0.7568, 0.5000) (multiplicity 3)
Sn (0.3333, 0.6667, 0.5000) (multiplicity 2)
Pt (0.0000, 0.0000, 0.0000) (multiplicity 1)

=====

No. 17
Entry from Alexandria: a relaxed structure of LaSnPt3 (PBE).

Results
Distance to the lowest polymorph of the same formula in meV per atom: 0
Calculated formation energy in meV/atom: -608

Unit cell a=5.5784 b=7.7269 c=5.4071 alpha=90.00 beta=90.00 gamma=90.00
Space group Pbam (No. 55)
Inequivalent atoms, fractional coordinates:
La (0.0000, 0.0000, 0.0000) (multiplicity 2)
Sn (0.0000, 0.5000, 0.5000) (multiplicity 2)
Pt (0.0000, 0.5000, 0.0000) (multiplicity 2)
Pt (0.0799, 0.1694, 0.5000) (multiplicity 4)

=====

No. 18
Entry from Alexandria: a relaxed structure of La2Sn2Pt (PBE).

Results
Distance to the lowest polymorph of the same formula in meV per atom: 148
Calculated formation energy in meV/atom: -808

Unit cell a=7.2121 b=7.2121 c=5.1631 alpha=90.00 beta=90.00 gamma=90.00
Space group P4/mbm (No. 127)
Inequivalent atoms, fractional coordinates:
La (0.1706, 0.3294, 0.0000) (multiplicity 4)
Sn (0.1438, 0.6438, 0.5000) (multiplicity 4)
Pt (0.0000, 0.0000, 0.5000) (multiplicity 2)

=====

No. 19
Entry from Alexandria: a relaxed structure of La2Sn3Pt (PBE).

Results
Distance to the lowest polymorph of the same formula in meV per atom: 0
Calculated formation energy in meV/atom: -825

Unit cell a=11.6487 b=4.7511 c=7.5848 alpha=90.00 beta=130.21 gamma=90.00
Space group Cm (No. 8)
Inequivalent atoms, fractional coordinates:
La (0.0000, 0.0000, 0.0000) (multiplicity 2)
La (0.1253, 0.0000, 0.6104) (multiplicity 2)
Sn (0.1843, 0.5000, 0.9518) (multiplicity 2)
Sn (0.2432, 0.5000, 0.4172) (multiplicity 2)
Sn (0.3953, 0.0000, 0.2189) (multiplicity 2)
Pt (0.3856, 0.0000, 0.5802) (multiplicity 2)

=====

No. 20
Entry from Alexandria: a relaxed structure of La3Sn4Pt4 (PBE).

Results
Calculated formation energy in meV/atom: -967

Unit cell a=4.3745 b=7.6345 c=15.4747 alpha=90.00 beta=90.00 gamma=90.00
Space group Immm (No. 71)
Inequivalent atoms, fractional coordinates:
La (0.0000, 0.0000, 0.0000) (multiplicity 2)
La (0.0000, 0.5000, 0.1168) (multiplicity 4)
Sn (0.0000, 0.2996, 0.3304) (multiplicity 8)
Pt (0.0000, 0.0000, 0.2183) (multiplicity 4)
Pt (0.0000, 0.1959, 0.5000) (multiplicity 4)

=====

Q: Which mass density values were calculated for the entries above? A: 10.8, 8.7, 10.6, 11.5, 8.1, 11.9, 9.9, 12.2, 11.2, 10.4, 9.6, 7.2, 8.0, 9.7, 8.7, 7.4, 12.0, 8.8, 8.6, 10.7, in Mg/m³.
Q: Which volume values were calculated for the entries above? A: 26.2, 30.2, 26.5, 24.5, 33.2, 23.6, 27.7, 26.2, 24.9, 23.5, 27.1, 32.5, 28.9, 27.0, 30.0, 31.7, 23.3, 26.9, 26.7, 23.5, in Å³/atom.